Gd3ReO7 | Alexandria | GGA-PBEsol | optimized geometry; E = -11.3836 eV/atom; density of states at the Fermi level = 8.91 states/eV/cell; formation energy from raw total energies = -2891 meV/atom; total magnetization = 0.568 μB/atom
1.0
-0.5984 5.2910 3.6245
-2.7313 -5.0640 2.8959
6.4506 -1.5643 3.3485
O Gd Re
14 6 2
Direct
0.3222 0.0680 0.5312 O
0.9510 0.9510 0.7500 O
0.3447 0.6081 0.2500 O
0.3919 0.6553 0.7500 O
0.3222 0.0680 0.9688 O
0.6553 0.3919 0.7500 O
0.9320 0.6778 0.4688 O
0.6081 0.3447 0.2500 O
0.6778 0.9320 0.0312 O
0.0680 0.3222 0.5312 O
0.9320 0.6778 0.0312 O
0.0680 0.3222 0.9688 O
0.6778 0.9320 0.4688 O
0.0490 0.0490 0.2500 O
0.5000 0.5000 0.0000 Gd
0.4371 0.9765 0.2500 Gd
0.0235 0.5629 0.7500 Gd
0.9765 0.4371 0.2500 Gd
0.5629 0.0235 0.7500 Gd
0.5000 0.5000 0.5000 Gd
0.0000 0.0000 0.0000 Re
0.0000 0.0000 0.5000 Re